Entry from Alexandria: a geometry-optimized PmGa2Pt2Au structure (PBE).

Total DFT energy (no corrections): -0.379 Ry per atom
Density: 12.75 Mg/m³
DFT formation energy: -0.799 eV per atom

extended XYZ file:
```
6
Lattice="4.4268 0.0000 0.0000 -2.2134 3.8337 0.0000 0.0000 0.0000 6.6885" Properties=species:S:1:pos:R:3 pbc="T T T"
Pm 0.0000 0.0000 0.0000
Ga 0.0000 2.5558 2.0292
Ga 2.2134 1.2779 4.6593
Pt 0.0000 2.5558 4.8146
Pt 2.2134 1.2779 1.8740
Au 0.0000 0.0000 3.3443
```